Density functional theory data (GGA+U) for a relaxed MoNF2 crystal.

Unit cell a=3.2765 b=3.2765 c=15.4446 alpha=90.00 beta=90.00 gamma=90.00
Closest atoms and distances in Å follow each position.
Space group I-42d (No. 122)
One atom of each set of equivalent atoms:
Mo1 0.0000 0.0000 0.0000 x4  4 F 2.22, 4 N 2.32
N1 0.0000 0.0000 0.5000 x4  4 F 2.28, 4 Mo 2.32
F1 0.2244 0.2500 0.1250 x8  4 F 2.20-2.44, 2 Mo 2.22, 2 N 2.28

N(E_F) = 2.2 states/eV/f.u.
Energy above the lowest structure with this stoichiometry = 0.0000 eV per atom
Size of the total moment = 0.314 μB per atom
Uncorrected energy = -81.6 eV for the cell shown